4
Lattice="-4.226 0.633 -1.324 -3.383 -1.374 2.584 -2.575 2.999 2.095" Properties=species:S:1:pos:R:3 comment="Zn2CuAs (GGA-PBE, optimized geometry)" ef_mev_per_atom=174.3 spacegroup=F-43m crystal_system=cubic pbc="T T T"
As -5.092 1.129 1.677
Zn -2.546 0.564 0.839
Zn 0.000 0.000 0.000
Cu -7.638 1.693 2.516

***

5
Lattice="-2.388 -2.903 -3.141 -0.696 -3.286 3.566 -4.115 2.130 1.160" Properties=species:S:1:pos:R:3 comment="TaAlSe2Br (GGA-PBE, optimized geometry)" de_polymorph_ev_per_atom=0.655 spacegroup=P4/mmm raw_formation_energy_ev_per_atom=0.53 crystal_system=tetragonal pbc="T T T"
Se -0.348 -1.643 1.783
Se -1.194 -1.451 -1.571
Al 0.000 0.000 0.000
Br -2.057 1.065 0.580
Ta -3.599 -2.029 0.793

***

4
Lattice="-1.661 -4.013 2.980 2.625 -1.624 -5.085 2.550 -0.786 0.951" Properties=species:S:1:pos:R:3 comment="CaHgW2 (GGA-PBE, optimized geometry)" ef_mev_per_atom=806.2 spacegroup=C2/m crystal_system=monoclinic pbc="T T T"
W 0.444 -2.400 1.965
W 0.000 0.000 0.000
Hg 0.482 -2.819 -1.053
Ca 2.587 -1.205 -2.067

***

4
Lattice="10.367 -0.015 -0.009 9.803 3.375 -0.009 9.803 1.633 2.954" Properties=species:S:1:pos:R:3 comment="LaReCl2 (GGA-PBE, optimized geometry)" de_polymorph_ev_per_atom=0.589 spacegroup=R-3m raw_formation_energy_ev_per_atom=0.12 crystal_system=trigonal pbc="T T T"
Cl 29.514 4.917 2.891
Cl 15.445 2.573 1.513
Re 22.479 3.745 2.202
La 7.493 1.248 0.734

***

16
Lattice="-1.914 -6.650 3.912 -1.483 -3.691 -7.001 3.794 -1.194 -0.174" Properties=species:S:1:pos:R:3 comment="CuSnPd2 (GGA-PBE, optimized geometry)" ef_mev_per_atom=-346.1 spacegroup=Pmma crystal_system=orthorhombic pbc="T T T"
Pd -0.834 -2.547 -0.700
Pd -0.343 -8.034 2.108
Pd 0.562 -4.889 0.258
Pd -0.284 -7.441 -0.674
Pd -2.563 -7.794 -2.388
Pd -0.165 -6.646 -3.521
Pd 0.681 -4.095 -2.589
Pd 0.740 -3.501 -5.371
Sn -0.742 -1.846 -3.500
Sn -1.699 -5.171 -1.544
Sn -0.957 -3.325 1.956
Sn 0.000 0.000 0.000
Cu -1.012 -9.251 -4.107
Cu 1.409 -2.284 0.844
Cu -1.596 -4.443 -4.295
Cu -1.801 -5.898 1.206

***

7
Lattice="-2.632 2.983 -4.727 -1.127 -5.401 -2.780 -4.882 0.811 7.267" Properties=species:S:1:pos:R:3 comment="Ba4Pd2S (GGA-PBE, optimized geometry)" spacegroup=I4/mmm raw_formation_energy_ev_per_atom=-0.71 crystal_system=tetragonal pbc="T T T"
Pd -3.090 -1.280 -3.124
Pd -5.550 -0.327 2.884
Ba -2.797 -0.165 1.454
Ba -1.316 1.491 -2.363
Ba -0.563 -2.700 -1.390
Ba -5.843 -1.443 -1.694
S 0.000 0.000 0.000

***

4
Lattice="-2.231 -4.121 0.880 -4.747 -0.264 -0.356 -1.990 -2.444 -3.577" Properties=species:S:1:pos:R:3 comment="RbCu2Ni (GGA-PBE, optimized geometry)" de_polymorph_ev_per_atom=0.491 ef_mev_per_atom=1052.7 spacegroup=Fm-3m crystal_system=cubic pbc="T T T"
Ni 0.000 0.000 0.000
Cu -2.242 -1.707 -0.763
Cu -6.726 -5.122 -2.290
Rb -4.484 -3.415 -1.527

***

4
Lattice="3.788 0.000 0.000 0.000 4.523 0.000 -1.894 0.000 5.443" Properties=species:S:1:pos:R:3 comment="CaTmPdAu (GGA-PBE, optimized geometry)" de_polymorph_ev_per_atom=0.000 ef_mev_per_atom=-825.4 spacegroup=Amm2 crystal_system=orthorhombic pbc="T T T"
Pd 0.000 0.000 4.481
Ca 0.000 0.000 1.551
Tm 1.894 2.262 3.965
Au 1.894 2.262 0.889

***

3
Lattice="5.357 0.000 0.000 2.678 4.639 0.000 2.678 1.546 4.374" Properties=species:S:1:pos:R:3 comment="EuSnPb (GGA-PBE, optimized geometry)" de_polymorph_ev_per_atom=0.131 ef_mev_per_atom=-277.6 spacegroup=F-43m crystal_system=cubic pbc="T T T"
Sn 2.678 1.546 1.093
Eu 0.000 0.000 0.000
Pb 5.357 3.093 2.187

***

8
Lattice="5.121 0.000 0.000 2.561 4.435 0.000 2.561 1.478 8.398" Properties=species:S:1:pos:R:3 comment="SmErTm2Ag4 (GGA-PBE, optimized geometry)" ef_mev_per_atom=-319.0 spacegroup=R-3m crystal_system=trigonal pbc="T T T"
Ag 5.121 2.957 1.113
Ag 2.561 1.478 5.206
Ag 5.121 2.957 7.285
Ag 7.682 4.435 3.193
Er 5.121 2.957 4.199
Tm 2.561 1.478 2.121
Tm 7.682 4.435 6.277
Sm 0.000 0.000 0.000

***

18
Lattice="8.513 -0.193 -0.137 4.037 7.498 -0.137 4.037 2.350 7.121" Properties=species:S:1:pos:R:3 comment="Ba2MgZn3Au12 (GGA-PBE, optimized geometry)" ef_mev_per_atom=-196.5 spacegroup=R-3m crystal_system=trigonal pbc="T T T"
Au 11.182 3.247 2.303
Au 8.240 4.797 -0.053
Au 10.100 8.539 6.057
Au 6.486 1.115 0.791
Au 4.173 5.089 0.791
Au 5.405 6.407 4.545
Au 12.413 7.226 2.306
Au 8.346 8.119 2.303
Au 8.240 1.535 4.545
Au 8.346 4.858 6.901
Au 12.413 4.565 6.057
Au 4.173 2.429 4.542
Mg 0.000 0.000 0.000
Ba 6.546 3.810 2.703
Ba 10.040 5.844 4.145
Zn 2.018 3.749 -0.068
Zn 4.257 -0.096 -0.068
Zn 2.018 1.175 3.561

***

4
Lattice="-3.759 -0.453 0.229 -1.848 -1.913 -2.704 -0.448 -9.838 4.603" Properties=species:S:1:pos:R:3 comment="AcPuTl2 (GGA-PBE, optimized geometry)" ef_mev_per_atom=-17.0 spacegroup=R-3m crystal_system=trigonal pbc="T T T"
Ac -3.028 -6.102 1.064
Pu 0.000 0.000 0.000
Tl -1.532 -2.938 0.464
Tl -4.524 -9.265 1.664